No. 1
A plane-wave DFT calculation with GGA-PBE was carried out for a relaxed Tb2Pr4NdEr2 crystal.

Unit cell a=5.1289 b=8.1261 c=8.1068 alpha=107.33 beta=90.00 gamma=108.40
Element x y z (fractional)
Er (0.6685, 0.3370, 0.9991)
Nd (0.0000, 0.0000, 0.0000)
Tb (0.1116, 0.2233, 0.6690)
Pr (0.7768, 0.5536, 0.6694)
Pr (0.4460, 0.8921, 0.6687)
Er (0.3315, 0.6630, 0.0009)
Pr (0.5540, 0.1079, 0.3313)
Tb (0.8884, 0.7767, 0.3310)
Pr (0.2232, 0.4464, 0.3306)

Results
Formation energy from the elements: 0.0195 eV/atom
N(E_F): 1.4930 states/eV/atom
E_tot: -4.677 eV/atom

No. 2
A plane-wave DFT calculation with GGA-PBE was carried out for a relaxed Tb4PrNdEr2 crystal.

Unit cell a=9.5251 b=9.5251 c=11.8430 alpha=128.41 beta=128.41 gamma=88.34
Each line ends with the local moment (μB).
Element x y z (fractional)
Tb (0.2519, 0.2466, 0.5038)  0.20
Nd (0.0000, 0.5000, 0.0000)  0.19
Er (0.5000, 0.0000, 0.5000)  0.18
Pr (0.5000, 0.5000, 0.5000)  0.13
Er (0.5000, 0.5000, 0.0000)  0.18
Tb (0.7435, 0.2540, 0.9983)  0.18
Er (0.0000, 0.0000, 0.5000)  0.18
Er (0.5000, 0.0000, 0.0000)  0.18
Tb (0.2534, 0.2481, 0.9962)  0.20
Tb (0.2460, 0.7565, 0.5017)  0.18
Nd (0.0000, 0.5000, 0.5000)  0.19
Tb (0.2565, 0.7460, 0.0017)  0.18
Pr (0.0000, 0.0000, 0.0000)  0.13
Tb (0.7480, 0.7534, 0.4962)  0.20
Tb (0.7540, 0.2435, 0.4983)  0.18
Tb (0.7466, 0.7519, 0.0038)  0.20

Results
Formation energy from the elements: 0.4179 eV/atom
N(E_F): 2.3799 states/eV/atom
E_tot: -4.231 eV/atom

No. 3
A plane-wave DFT calculation with GGA-PBE was carried out for a relaxed TbPrNd2Er crystal.

Unit cell a=6.6852 b=8.3760 c=6.2498 alpha=91.98 beta=90.00 gamma=90.00
Element x y z (fractional)
Pr (0.0000, 0.0000, 0.5000)
Tb (0.5713, 0.0000, 0.2500)
Er (0.1590, 0.5000, 0.7500)
Pr (0.0000, 0.0000, 0.0000)
Nd (0.3083, 0.3083, 0.2386)
Nd (0.3083, 0.6917, 0.2614)
Er (0.8410, 0.5000, 0.2500)
Tb (0.4287, 0.0000, 0.7500)
Nd (0.6917, 0.3083, 0.7386)
Nd (0.6917, 0.6917, 0.7614)

Results
Formation energy from the elements: 0.2739 eV/atom
N(E_F): 1.1954 states/eV/atom
E_tot: -4.428 eV/atom

No. 4
A plane-wave DFT calculation with GGA-PBE was carried out for a relaxed TbPrNd6Er2 crystal.

Unit cell a=9.7608 b=8.9554 c=8.9554 alpha=117.40 beta=94.13 gamma=94.13
Element x y z (fractional)
Nd (0.9448, 0.8896, 0.2405)
Er (0.0468, 0.2919, 0.1961)
Nd (0.4448, 0.2405, 0.8896)
Nd (0.1200, 0.7047, 0.4900)
Nd (0.1832, 0.5656, 0.0164)
Nd (0.8800, 0.2953, 0.5100)
Nd (0.6200, 0.4900, 0.7047)
Er (0.4532, 0.8039, 0.7081)
Tb (0.7500, 0.0298, 0.9702)
Nd (0.5552, 0.7595, 0.1104)
Tb (0.2500, 0.9702, 0.0298)
Nd (0.3168, 0.9836, 0.4344)
Er (0.5468, 0.1961, 0.2919)
Pr (0.7500, 0.5936, 0.4064)
Nd (0.6832, 0.0164, 0.5656)
Nd (0.3800, 0.5100, 0.2953)
Er (0.9532, 0.7081, 0.8039)
Nd (0.0552, 0.1104, 0.7595)
Pr (0.2500, 0.4064, 0.5936)
Nd (0.8168, 0.4344, 0.9836)

Results
Formation energy from the elements: 0.1145 eV/atom
N(E_F): 1.4976 states/eV/atom
E_tot: -4.600 eV/atom

No. 5
A plane-wave DFT calculation with GGA-PBE was carried out for a relaxed Tb6PrNd2Er crystal.

Unit cell a=9.7563 b=8.8311 c=8.8311 alpha=117.89 beta=94.37 gamma=94.37
Element x y z (fractional)
Tb (0.5571, 0.7419, 0.1226)
Pr (0.2500, 0.9813, 0.0187)
Er (0.2500, 0.4076, 0.5924)
Nd (0.0433, 0.2981, 0.1966)
Er (0.7500, 0.5924, 0.4076)
Tb (0.9429, 0.8774, 0.2581)
Tb (0.6863, 0.0185, 0.5709)
Tb (0.1863, 0.5709, 0.0185)
Nd (0.5433, 0.1966, 0.2981)
Tb (0.6193, 0.4918, 0.7049)
Tb (0.0571, 0.1226, 0.7419)
Tb (0.8807, 0.2951, 0.5082)
Tb (0.4429, 0.2581, 0.8774)
Tb (0.8137, 0.4291, 0.9815)
Tb (0.3137, 0.9815, 0.4291)
Pr (0.7500, 0.0187, 0.9813)
Nd (0.9567, 0.7019, 0.8034)
Nd (0.4567, 0.8034, 0.7019)
Tb (0.3807, 0.5082, 0.2951)
Tb (0.1193, 0.7049, 0.4918)

Results
Formation energy from the elements: 0.1152 eV/atom
N(E_F): 1.4146 states/eV/atom
E_tot: -4.551 eV/atom

No. 6
A plane-wave DFT calculation with GGA-PBE was carried out for a relaxed TbPr2NdEr4 crystal.

Unit cell a=5.1233 b=5.0933 c=11.2179 alpha=62.98 beta=90.00 gamma=90.00
Element x y z (fractional)
Pr (0.5000, 0.0000, 0.5000)
Tb (0.0000, 0.5000, 0.5000)
Pr (0.0000, 0.0000, 0.0000)
Er (0.5000, 0.7486, 0.2515)
Er (0.5000, 0.2514, 0.7485)
Er (0.0000, 0.2481, 0.2520)
Er (0.0000, 0.7519, 0.7480)
Nd (0.5000, 0.5000, 0.0000)

Results
Formation energy from the elements: 0.0215 eV/atom
N(E_F): 1.3785 states/eV/atom
E_tot: -4.630 eV/atom

Question: Among the records above, which one has the lowest E_tot?
Answer: Tb2Pr4NdEr2

Question: Among the records above, which one has the lowest E_tot?
Answer: Tb2Pr4NdEr2